Below is an optimized crystal structure of ZrNi3As2, with properties calculated at the PBE level.

Results
calculated total energy: -6.45 eV/atom
E_form: -0.585 eV per atom
DOS(E_F): 3.356 states/eV/f.u.
space group: C2/m (12)

abc: 7.867 7.867 9.293
angles: 105.29 105.29 27.60
Atoms (fractional coordinates):
Zr 0.000 0.000 0.000
Zr 0.152 0.152 0.700
Zr 0.848 0.848 0.300
Ni 0.040 0.040 0.341
Ni 0.214 0.214 0.389
Ni 0.321 0.321 0.030
Ni 0.377 0.377 0.794
Ni 0.500 0.500 0.500
Ni 0.623 0.623 0.206
Ni 0.679 0.679 0.970
Ni 0.786 0.786 0.611
Ni 0.960 0.960 0.659
As 0.197 0.197 0.133
As 0.359 0.359 0.537
As 0.462 0.462 0.207
As 0.538 0.538 0.793
As 0.641 0.641 0.463
As 0.803 0.803 0.867

Below is an optimized crystal structure of ZrNiAs4, with properties calculated at the PBE level.

Results
calculated total energy: -5.18 eV/atom
E_form: 0.310 eV per atom
DOS(E_F): 4.255 states/eV/f.u.
space group: F-43m (216)

abc: 5.402 5.402 5.402
angles: 60.00 60.00 60.00
Atoms (fractional coordinates):
Zr 0.000 0.000 0.000
Ni 0.250 0.250 0.250
As 0.128 0.624 0.624
As 0.624 0.128 0.624
As 0.624 0.624 0.128
As 0.624 0.624 0.624

Below is an optimized crystal structure of ZrNiAs3, with properties calculated at the PBE level.

Results
calculated total energy: -4.91 eV/atom
E_form: 0.742 eV per atom
relative energy among the computed polymorphs: 59.4 kJ per mole of atoms
DOS(E_F): 5.745 states/eV/f.u.
space group: Pm-3m (221)

abc: 5.138 5.138 5.138
angles: 90.00 90.00 90.00
Atoms (fractional coordinates):
Zr 0.000 0.000 0.000
Ni 0.500 0.500 0.500
As 0.000 0.000 0.500
As 0.000 0.500 0.000
As 0.500 0.000 0.000

Below is an optimized crystal structure of Zr2NiAs2, with properties calculated at the PBE level.

Results
calculated total energy: -7.15 eV/atom
E_form: -0.718 eV per atom
relative energy among the computed polymorphs: 28.8 kJ per mole of atoms
DOS(E_F): 2.317 states/eV/f.u.
space group: P4/mbm (127)

abc: 6.902 6.902 3.737
angles: 90.00 90.00 90.00
Atoms (fractional coordinates):
Zr 0.159 0.341 0.000
Zr 0.341 0.841 0.000
Zr 0.659 0.159 0.000
Zr 0.841 0.659 0.000
Ni 0.000 0.000 0.500
Ni 0.500 0.500 0.500
As 0.151 0.651 0.500
As 0.349 0.151 0.500
As 0.651 0.849 0.500
As 0.849 0.349 0.500